Computed, not measured: a geometry-optimized NiAsBr2O structure at the PBE+U level of DFT.

```
NiAsBr2O
1.0
4.9345 0.0000 0.0000
0.0000 4.9345 0.0000
0.0000 0.0000 4.7482
Ni As Br O
1 1 2 1
Direct
0.0000 0.0000 0.0000 Ni
0.0000 0.0000 0.5000 As
0.0000 0.5000 0.0000 Br
0.5000 0.0000 0.0000 Br
0.5000 0.5000 0.5000 O
```

E, eV per cell: -11.50
Spin magnetization, μB/atom: 0.44
E above lowest polymorph, kcal/mol of atoms: 0.000
SG: P4/mmm, No. 123